Density functional theory data (PBE) for a geometry-optimized AlInMo2 structure.

Calculated values
E_form (eV per atom): 0.227
Magnetization (μB per atom): 0.000
Volume (Å³/cell): 71
DOS at the Fermi energy (states/eV/f.u.): 3.22
Relative energy among the computed polymorphs (eV per atom): 0.205

The structure in CIF format:
```
data_AlInMo2
_chemical_formula_sum 'Al1 In1 Mo2'
_space_group_name_H-M_alt 'P 1'
_space_group_IT_number 1
_cell_length_a 2.863
_cell_length_b 2.863
_cell_length_c 9.225
_cell_angle_alpha 90.00
_cell_angle_beta 90.00
_cell_angle_gamma 110.70
loop_
_space_group_symop_operation_xyz
'x,y,z'
loop_
_atom_site_label
_atom_site_fract_x
_atom_site_fract_y
_atom_site_fract_z
_atom_site_occupancy
Al1 0.000 0.000 0.000 1
In1 0.500 0.500 0.716 1
Mo1 0.000 0.000 0.452 1
Mo2 0.500 0.500 0.226 1
```